BaHoP2Pt4: optimized geometry, PBE-GGA.

abc: 4.104 4.104 10.261
angles: 90.00 90.00 90.00
Space group P4/mmm (No. 123)
Asymmetric unit:
Ba 0.000 0.000 0.000
Ho 0.000 0.000 0.500
P 0.500 0.500 0.183
Pt 0.000 0.500 0.296

size of the total moment = 0.0 μB/f.u.
DFT formation energy = -7.2 eV/f.u.


YTeCl: optimized geometry, PBE-GGA.

abc: 4.687 5.625 14.950
angles: 90.00 90.00 90.00
Space group Fmm2 (No. 42)
Asymmetric unit:
Y 0.000 0.000 0.000
Te 0.000 0.000 0.623
Cl 0.000 0.000 0.387

size of the total moment = 0.0 μB/f.u.
formation energy (no corrections) = -1.44 eV/atom


SrCr3Cd: optimized geometry, PBE-GGA.

abc: 5.242 5.242 5.242
angles: 90.00 90.00 90.00
Space group Pm-3m (No. 221)
Asymmetric unit:
Sr 0.000 0.000 0.000
Cr 0.000 0.500 0.500
Cd 0.500 0.500 0.500

size of the total moment = 13.6 μB/f.u.
polymorph energy (0 for the lowest one) = 0.000 eV per atom
DFT formation energy = 5.7 eV/f.u.


Ta2TcAg: optimized geometry, PBE-GGA.

abc: 3.180 3.180 6.813
angles: 90.00 90.00 90.00
Space group P4/mmm (No. 123)
Asymmetric unit:
Ta 0.000 0.000 0.228
Tc 0.500 0.500 0.000
Ag 0.500 0.500 0.500

size of the total moment = 0.0 μB/f.u.
polymorph energy (0 for the lowest one) = 0.000 eV per atom
DFT formation energy = 0.3 eV/f.u.


CoTcNi2: optimized geometry, PBE-GGA.

abc: 3.564 3.564 3.693
angles: 90.00 90.00 90.00
Space group P4/mmm (No. 123)
Asymmetric unit:
Co 0.000 0.000 0.000
Tc 0.500 0.500 0.000
Ni 0.000 0.500 0.500

size of the total moment = 2.1 μB/f.u.
polymorph energy (0 for the lowest one) = 0.090 eV per atom
DFT formation energy = 0.5 eV/f.u.


Cr2ReRh2: optimized geometry, PBE-GGA.

abc: 3.031 3.031 15.407
angles: 90.00 90.00 90.00
Space group I4/mmm (No. 139)
Asymmetric unit:
Cr 0.000 0.500 0.250
Re 0.000 0.000 0.000
Rh 0.000 0.000 0.393

size of the total moment = 0.0 μB/f.u.
polymorph energy (0 for the lowest one) = 0.345 eV per atom
DFT formation energy = 2.4 eV/f.u.


Sm3ErRu: optimized geometry, PBE-GGA.

abc: 9.441 7.481 8.664
angles: 90.00 90.00 90.00
Space group Ima2 (No. 46)
Asymmetric unit:
Sm 0.039 0.248 0.000
Sm 0.250 0.520 0.752
Er 0.250 0.526 0.248
Ru 0.250 0.745 0.500

size of the total moment = 0.0 μB/f.u.
polymorph energy (0 for the lowest one) = 0.000 eV per atom
DFT formation energy = -0.7 eV/f.u.


Cs3Y3BiSe8: optimized geometry, PBE-GGA.

abc: 14.602 8.421 9.853
angles: 90.00 119.67 90.00
Space group C2/m (No. 12)
Asymmetric unit:
Cs 0.000 0.000 0.000
Cs 0.250 0.250 0.000
Y 0.000 0.500 0.500
Y 0.250 0.250 0.500
Bi 0.000 0.000 0.500
Se 0.022 0.253 0.314
Se 0.228 0.500 0.685
Se 0.231 0.000 0.686

size of the total moment = 0.0 μB/f.u.
formation energy (no corrections) = -1.43 eV/atom